The following is a GGA-PBE calculation of a geometry-optimized LaTi2TeRu structure, from Alexandria via LeMat-Bulk.

Summary:
* magnetization: 0.0 μB per formula unit
* symmetry: No. 123
* formation energy without anion corrections: 1743 meV per atom
* DOS(E_F): 7.75 states/eV/f.u.

a = 4.7166 Å, b = 4.7166 Å, c = 5.7769 Å
α = 90.00°, β = 90.00°, γ = 90.00°
With the nearest neighbours (Å) after each atom.
Atoms (fractional coordinates):
La (0.0000, 0.0000, 0.0000)  4 Ti 2.36
Ti (0.0000, 0.5000, 0.0000)  2 La 2.36
Ti (0.5000, 0.0000, 0.0000)  2 La 2.36
Te (0.0000, 0.0000, 0.5000)  2 La 2.89
Ru (0.5000, 0.5000, 0.5000)  4 Te 3.34, 8 Ti 3.73


The following is a GGA-PBE calculation of a geometry-optimized La2BiTe structure, from Alexandria via LeMat-Bulk.

Summary:
* magnetization: 0.0 μB per formula unit
* symmetry: No. 166
* formation energy without anion corrections: -1343 meV per atom
* DOS(E_F): 2.20 states/eV/f.u.

a = 8.0192 Å, b = 8.0192 Å, c = 8.0192 Å
α = 33.75°, β = 33.75°, γ = 33.75°
With the nearest neighbours (Å) after each atom.
Atoms (fractional coordinates):
La (0.2500, 0.2500, 0.2500)  3 Bi 3.28, 3 Te 3.29
La (0.7500, 0.7500, 0.7500)  3 Bi 3.28, 3 Te 3.29
Bi (0.0000, 0.0000, 0.0000)  6 La 3.28
Te (0.5000, 0.5000, 0.5000)  6 La 3.29


Which of these has the highest formation energy without anion corrections?
LaTi2TeRu